No. 1
The following is a DFT calculation (PBE+U) of TaVNO2 after structural relaxation.

Cell: 3.9318 3.9318 4.1279 Å, 90.00 90.00 90.00°
Atoms (fractional coordinates):
Ta (0.0000, 0.0000, 0.0000)
V (0.5000, 0.5000, 0.5000)
N (0.0000, 0.0000, 0.5000)
O (0.0000, 0.5000, 0.0000)
O (0.5000, 0.0000, 0.0000)

Output
Final energy (eV per cell): -43.5
Spin magnetization (μB/f.u.): 3.00

No. 2
The following is a DFT calculation (PBE+U) of TaWNO2 after structural relaxation.

Cell: 3.9205 3.9205 4.2814 Å, 90.00 90.00 90.00°
Atoms (fractional coordinates):
Ta (0.0000, 0.0000, 0.0000)
W (0.5000, 0.5000, 0.5000)
N (0.0000, 0.0000, 0.5000)
O (0.0000, 0.5000, 0.0000)
O (0.5000, 0.0000, 0.0000)

Output
Final energy (eV per cell): -42.0
Spin magnetization (μB/f.u.): 4.00